DFT (PBE) results for a relaxed structure of Sc2AlAu8.

Lattice parameters (Å, degrees): 4.7569 6.5373 7.6873 115.06 108.02 90.00
Fractional positions:
Sc1 0.1986 0.6970 0.3972
Sc2 0.8014 0.3030 0.6028
Au1 0.3677 0.1494 0.7354
Au2 0.9996 0.2753 0.9991
Au3 0.0004 0.7247 0.0009
Au4 0.3687 0.5860 0.7374
Au5 0.6313 0.4140 0.2626
Au6 0.1742 0.1750 0.3485
Au7 0.6323 0.8506 0.2646
Au8 0.8258 0.8250 0.6515
Al1 0.5000 0.0000 0.0000

Results
* calculated volume: 18.5 Å³/atom
* energy: -4.390 eV per atom
* D(E_F): 4.05 states/eV/cell
* symmetry: No. 12
* energy relative to the elements: -0.515 eV per atom
* magnetization: 0.0000 μB/atom